No. 1
Compound: LiCdHg2
Source: Alexandria
Functional: PBE
Structure: optimized geometry

a b c (Å): 3.396 3.695 6.775
angles (deg): 90.00 90.81 90.00
Positions (direct):
Li 0.000 0.000 0.000
Cd 0.000 0.000 0.500
Hg 0.499 0.500 0.771
Hg 0.501 0.500 0.229

crystal system: monoclinic
SG: P2/m, No. 10
final energy: -4.23 eV/cell
ΔE_f: -200 meV per atom


No. 2
Compound: LiCd2Hg
Source: Alexandria
Functional: PBE
Structure: optimized geometry

a b c (Å): 4.335 4.335 4.455
angles (deg): 90.00 90.00 90.00
Positions (direct):
Li 0.000 0.000 0.000
Cd 0.000 0.500 0.500
Cd 0.500 0.000 0.500
Hg 0.500 0.500 0.000

crystal system: tetragonal
SG: P4/mmm, No. 123
final energy: -4.75 eV/cell
ΔE_f: -176 meV per atom


No. 3
Compound: LiCd12Hg7
Source: Alexandria
Functional: PBE
Structure: optimized geometry

a b c (Å): 8.073 8.073 8.073
angles (deg): 103.73 103.73 103.73
Positions (direct):
Li 0.000 0.000 0.000
Cd 0.049 0.129 0.687
Cd 0.129 0.687 0.049
Cd 0.220 0.698 0.448
Cd 0.302 0.552 0.780
Cd 0.313 0.951 0.871
Cd 0.448 0.220 0.698
Cd 0.552 0.780 0.302
Cd 0.687 0.049 0.129
Cd 0.698 0.448 0.220
Cd 0.780 0.302 0.552
Cd 0.871 0.313 0.951
Cd 0.951 0.871 0.313
Hg 0.069 0.288 0.361
Hg 0.288 0.361 0.069
Hg 0.361 0.069 0.288
Hg 0.500 0.500 0.500
Hg 0.639 0.931 0.712
Hg 0.712 0.639 0.931
Hg 0.931 0.712 0.639

crystal system: trigonal
SG: R-3, No. 148
final energy: -15.09 eV/cell
ΔE_f: -4 meV per atom


No. 4
Compound: Li6Cd3Hg2
Source: Alexandria
Functional: PBE
Structure: optimized geometry

a b c (Å): 8.822 8.822 3.086
angles (deg): 90.00 90.00 117.86
Positions (direct):
Li 0.088 0.912 0.000
Li 0.126 0.441 0.000
Li 0.441 0.126 0.000
Li 0.559 0.874 0.000
Li 0.874 0.559 0.000
Li 0.912 0.088 0.000
Cd 0.242 0.758 0.500
Cd 0.500 0.500 0.000
Cd 0.758 0.242 0.500
Hg 0.212 0.212 0.500
Hg 0.788 0.788 0.500

crystal system: orthorhombic
SG: Cmmm, No. 65
final energy: -17.06 eV/cell
ΔE_f: -203 meV per atom


No. 5
Compound: Li12CdHg3
Source: Alexandria
Functional: PBE
Structure: optimized geometry

a b c (Å): 4.239 4.239 15.985
angles (deg): 90.00 90.00 90.00
Positions (direct):
Li 0.000 0.000 0.000
Li 0.000 0.000 0.248
Li 0.000 0.000 0.500
Li 0.000 0.000 0.752
Li 0.000 0.500 0.124
Li 0.000 0.500 0.371
Li 0.000 0.500 0.629
Li 0.000 0.500 0.876
Li 0.500 0.000 0.124
Li 0.500 0.000 0.371
Li 0.500 0.000 0.629
Li 0.500 0.000 0.876
Cd 0.500 0.500 0.500
Hg 0.500 0.500 0.000
Hg 0.500 0.500 0.249
Hg 0.500 0.500 0.751

crystal system: tetragonal
SG: P4/mmm, No. 123
final energy: -28.65 eV/cell
ΔE_f: -241 meV per atom


No. 6
Compound: Li2Cd5Hg3
Source: Alexandria
Functional: PBE
Structure: optimized geometry

a b c (Å): 9.748 9.748 9.748
angles (deg): 106.60 83.52 145.81
Positions (direct):
Li 0.151 0.113 0.264
Li 0.349 0.613 0.963
Li 0.651 0.387 0.037
Li 0.849 0.887 0.736
Cd 0.161 0.632 0.793
Cd 0.250 0.002 0.752
Cd 0.250 0.498 0.248
Cd 0.250 0.750 0.500
Cd 0.339 0.132 0.471
Cd 0.661 0.868 0.529
Cd 0.750 0.250 0.500
Cd 0.750 0.502 0.752
Cd 0.750 0.998 0.248
Cd 0.839 0.368 0.207
Hg 0.240 0.880 0.121
Hg 0.250 0.250 0.000
Hg 0.260 0.380 0.640
Hg 0.740 0.620 0.360
Hg 0.750 0.750 0.000
Hg 0.760 0.120 0.879

crystal system: orthorhombic
SG: Ibam, No. 72
polymorph energy (0 for the lowest one): 0.062 eV per atom
final energy: -19.40 eV/cell
ΔE_f: -39 meV per atom


No. 7
Compound: Li3Cd4Hg2
Source: Alexandria
Functional: PBE
Structure: optimized geometry

a b c (Å): 6.746 6.746 7.039
angles (deg): 108.60 108.60 37.31
Positions (direct):
Li 0.000 0.000 0.000
Li 0.117 0.117 0.675
Li 0.883 0.883 0.325
Cd 0.215 0.215 0.330
Cd 0.445 0.445 0.656
Cd 0.555 0.555 0.344
Cd 0.785 0.785 0.670
Hg 0.341 0.341 0.012
Hg 0.659 0.659 0.988

crystal system: monoclinic
SG: C2/m, No. 12
polymorph energy (0 for the lowest one): 0.000 eV per atom
final energy: -11.91 eV/cell
ΔE_f: -212 meV per atom


No. 8
Compound: Li9Cd2Hg3
Source: Alexandria
Functional: PBE
Structure: optimized geometry

a b c (Å): 8.382 8.382 8.382
angles (deg): 148.67 123.86 65.71
Positions (direct):
Li 0.000 0.000 0.000
Li 0.106 0.869 0.237
Li 0.156 0.307 0.849
Li 0.368 0.131 0.237
Li 0.457 0.307 0.151
Li 0.543 0.693 0.849
Li 0.632 0.869 0.763
Li 0.844 0.693 0.151
Li 0.894 0.131 0.763
Cd 0.224 0.500 0.724
Cd 0.776 0.500 0.276
Hg 0.195 0.695 0.500
Hg 0.500 0.000 0.500
Hg 0.805 0.305 0.500

crystal system: orthorhombic
SG: Immm, No. 71
final energy: -22.10 eV/cell
ΔE_f: -153 meV per atom


No. 9
Compound: LiCdHg2
Source: Alexandria
Functional: PBE
Structure: optimized geometry

a b c (Å): 3.451 3.451 26.733
angles (deg): 90.00 90.00 120.00
Positions (direct):
Li 0.000 0.000 0.000
Li 0.333 0.667 0.667
Li 0.667 0.333 0.333
Cd 0.000 0.000 0.500
Cd 0.333 0.667 0.167
Cd 0.667 0.333 0.833
Hg 0.000 0.000 0.257
Hg 0.000 0.000 0.743
Hg 0.333 0.667 0.409
Hg 0.333 0.667 0.924
Hg 0.667 0.333 0.076
Hg 0.667 0.333 0.591

crystal system: trigonal
SG: R-3m, No. 166
final energy: -11.93 eV/cell
ΔE_f: -136 meV per atom


No. 10
Compound: LiCd8Hg2
Source: Alexandria
Functional: PBE
Structure: optimized geometry

a b c (Å): 7.629 7.629 5.341
angles (deg): 103.63 103.63 60.73
Positions (direct):
Li 0.000 0.000 0.000
Cd 0.224 0.224 0.068
Cd 0.233 0.630 0.198
Cd 0.359 0.359 0.650
Cd 0.370 0.767 0.802
Cd 0.630 0.233 0.198
Cd 0.641 0.641 0.350
Cd 0.767 0.370 0.802
Cd 0.776 0.776 0.932
Hg 0.123 0.123 0.494
Hg 0.877 0.877 0.506

crystal system: monoclinic
SG: C2/m, No. 12
polymorph energy (0 for the lowest one): 0.000 eV per atom
final energy: -9.89 eV/cell
ΔE_f: -4 meV per atom


No. 11
Compound: LiCdHg
Source: Alexandria
Functional: PBE
Structure: optimized geometry

a b c (Å): 3.304 4.393 4.666
angles (deg): 88.65 89.47 89.99
Positions (direct):
Li 0.000 0.000 0.000
Cd 0.500 0.000 0.500
Hg 0.500 0.500 0.000

crystal system: triclinic
SG: P-1, No. 2
polymorph energy (0 for the lowest one): 0.110 eV per atom
final energy: -3.55 eV/cell
ΔE_f: -139 meV per atom


No. 12
Compound: LiCdHg2
Source: Alexandria
Functional: PBE
Structure: optimized geometry

a b c (Å): 3.152 5.466 11.667
angles (deg): 90.00 90.00 90.00
Positions (direct):
Li 0.000 0.000 0.000
Li 0.500 0.500 0.500
Cd 0.000 0.000 0.500
Cd 0.500 0.500 0.000
Hg 0.000 0.000 0.231
Hg 0.000 0.000 0.769
Hg 0.500 0.500 0.269
Hg 0.500 0.500 0.731

crystal system: orthorhombic
SG: Immm, No. 71
final energy: -7.03 eV/cell
ΔE_f: -20 meV per atom


- Number 2 is which compound?
  LiCd2Hg